Entry 1:
Below is a relaxed TaCd2BiI crystal, with properties calculated at the PBE level.

Lattice parameters (Å, degrees): 5.6244 5.6244 5.1392 90.00 90.00 90.00
Space group P4/mmm (No. 123)
Symmetry-distinct sites (fractional):
Ta1 0.0000 0.0000 0.0000 x1
Cd1 0.0000 0.5000 0.5000 x2
Bi1 0.5000 0.5000 0.0000 x1
I1 0.0000 0.0000 0.5000 x1

Values from the calculation:
V, Å³/atom: 32.51
Formation energy (no corrections), eV/atom: 1.366

---

Entry 2:
Below is a relaxed ZrGaCo2 crystal, with properties calculated at the PBE level.

Lattice parameters (Å, degrees): 2.7339 4.7204 9.9120 90.00 90.00 90.00
Space group Immm (No. 71)
Symmetry-distinct sites (fractional):
Zr1 0.0000 0.0000 0.0000 x2
Ga1 0.0000 0.0000 0.5000 x2
Co1 0.0000 0.0000 0.2655 x4

Values from the calculation:
V, Å³/atom: 15.99
ΔE_f, meV/atom: 385

---

Entry 3:
Below is a relaxed K2Zn3Sn6 crystal, with properties calculated at the PBE level.

Lattice parameters (Å, degrees): 8.4414 8.4414 5.0425 90.00 90.00 120.00
Space group P-62m (No. 189)
Symmetry-distinct sites (fractional):
K1 0.3333 0.6667 0.0000 x2
Zn1 0.0000 0.3633 0.5000 x3
Sn1 0.0000 0.2076 0.0000 x3
Sn2 0.0000 0.6896 0.5000 x3

Values from the calculation:
V, Å³/atom: 28.29
ΔE_f, meV/atom: -63

---

Entry 4:
Below is a relaxed MgGe3Au crystal, with properties calculated at the PBE level.

Lattice parameters (Å, degrees): 5.0784 5.0784 5.0784 90.00 90.00 90.00
Space group Pm-3m (No. 221)
Symmetry-distinct sites (fractional):
Mg1 0.0000 0.0000 0.0000 x1
Ge1 0.0000 0.5000 0.5000 x3
Au1 0.5000 0.5000 0.5000 x1

Values from the calculation:
V, Å³/atom: 26.19
ΔE_f, meV/atom: 536

---

Entry 5:
Below is a relaxed TlCu4Re crystal, with properties calculated at the PBE level.

Lattice parameters (Å, degrees): 6.9649 6.9649 6.9649 90.00 90.00 90.00
Space group F-43m (No. 216)
Symmetry-distinct sites (fractional):
Tl1 0.0000 0.0000 0.0000 x4
Cu1 0.1240 0.1240 0.6240 x16
Re1 0.2500 0.2500 0.2500 x4

Values from the calculation:
V, Å³/atom: 14.08
ΔE_f, meV/atom: 550

---

Entry 6:
Below is a relaxed Mg2HgPb2 crystal, with properties calculated at the PBE level.

Lattice parameters (Å, degrees): 8.5464 8.5464 3.6593 90.00 90.00 90.00
Space group P4/mbm (No. 127)
Symmetry-distinct sites (fractional):
Mg1 0.1466 0.3534 0.0000 x4
Hg1 0.0000 0.0000 0.0000 x2
Pb1 0.1523 0.6523 0.5000 x4

Values from the calculation:
V, Å³/atom: 26.73
ΔE_f, meV/atom: 11

---

Entry 7:
Below is a relaxed Pm3InAg3 crystal, with properties calculated at the PBE level.

Lattice parameters (Å, degrees): 9.1597 9.1597 5.0024 90.00 90.00 120.00
Space group P6_3/m (No. 176)
Symmetry-distinct sites (fractional):
Pm1 0.0910 0.6574 0.2500 x6
In1 0.3333 0.6667 0.7500 x2
Ag1 0.0345 0.8322 0.7500 x6

Values from the calculation:
V, Å³/atom: 25.96
ΔE_f, meV/atom: -213

---

Entry 8:
Below is a relaxed PaAl2Cu3 crystal, with properties calculated at the PBE level.

Lattice parameters (Å, degrees): 4.1498 4.1498 13.1142 90.00 90.00 120.00
Space group P6_3/mmc (No. 194)
Symmetry-distinct sites (fractional):
Pa1 0.0000 0.0000 0.2500 x2
Al1 0.3333 0.6667 0.0844 x4
Cu1 0.0000 0.0000 0.0000 x2
Cu2 0.3333 0.6667 0.6141 x4

Values from the calculation:
V, Å³/atom: 16.30
ΔE_f, meV/atom: -166

---

| no. | total magnetic moment (Bohr magnetons per cell) |
| --- | --- |
| 1 | 0.0 |
| 2 | 5.9 |
| 3 | 0.0 |
| 4 | 0.0 |
| 5 | 0.0 |
| 6 | 0.0 |
| 7 | 0.0 |
| 8 | 0.0 |